Sr2NiBi PBE optimized geometry; space group = No. 216; crystal system = cubic
1.0
0.0000 3.8373 3.8373
3.8373 0.0000 3.8373
3.8373 3.8373 0.0000
Sr Ni Bi
2 1 1
direct
0.0000 0.0000 0.0000
0.2500 0.2500 0.2500
0.7500 0.7500 0.7500
0.5000 0.5000 0.5000

Ta3Ni5Bi5 PBE optimized geometry; space group = No. 5; crystal system = monoclinic
1.0
6.6724 -3.0721 0.0000
6.6724 3.0721 0.0000
-6.6365 0.0000 6.7644
Ta Ni Bi
3 5 5
direct
0.0000 0.0000 0.0000
0.3854 0.4085 0.1997
0.5915 0.6146 0.8003
0.1608 0.6843 0.7270
0.3157 0.8392 0.2730
0.5714 0.0452 0.9208
0.6922 0.3078 0.5000
0.9548 0.4286 0.0792
0.0876 0.1088 0.7677
0.2696 0.3085 0.4090
0.5030 0.4970 0.0000
0.6915 0.7304 0.5910
0.8912 0.9124 0.2323

TaNiBi2 PBE optimized geometry; space group = No. 216; crystal system = cubic
1.0
0.0000 3.5416 3.5416
3.5416 0.0000 3.5416
3.5416 3.5416 0.0000
Ta Ni Bi
1 1 2
direct
0.0000 0.0000 0.0000
0.7500 0.7500 0.7500
0.2500 0.2500 0.2500
0.5000 0.5000 0.5000

Ta2NiBi PBE optimized geometry; space group = No. 216; crystal system = cubic
1.0
0.0000 3.3195 3.3195
3.3195 0.0000 3.3195
3.3195 3.3195 0.0000
Ta Ni Bi
2 1 1
direct
0.0000 0.0000 0.0000
0.2500 0.2500 0.2500
0.7500 0.7500 0.7500
0.5000 0.5000 0.5000

YTaNiBi PBE optimized geometry; space group = No. 216; crystal system = cubic
1.0
0.0000 3.4939 3.4939
3.4939 0.0000 3.4939
3.4939 3.4939 0.0000
Y Ta Ni Bi
1 1 1 1
direct
0.0000 0.0000 0.0000
0.2500 0.2500 0.2500
0.7500 0.7500 0.7500
0.5000 0.5000 0.5000

ZrTaNiBi PBE optimized geometry; space group = No. 216; crystal system = cubic
1.0
0.0000 3.3907 3.3907
3.3907 0.0000 3.3907
3.3907 3.3907 0.0000
Zr Ta Ni Bi
1 1 1 1
direct
0.0000 0.0000 0.0000
0.2500 0.2500 0.2500
0.7500 0.7500 0.7500
0.5000 0.5000 0.5000

TbNiBi PBE optimized geometry; space group = No. 189; crystal system = hexagonal
1.0
8.2964 0.0000 0.0000
-4.1482 7.1849 0.0000
0.0000 0.0000 3.6086
Tb Ni Bi
3 3 3
direct
0.0000 0.2910 0.0000
0.2910 0.0000 0.0000
0.7090 0.7090 0.0000
0.0000 0.6709 0.5000
0.3291 0.3291 0.5000
0.6709 0.0000 0.5000
0.0000 0.0000 0.5000
0.3333 0.6667 0.0000
0.6667 0.3333 0.0000

TbNiBi PBE optimized geometry; space group = No. 189; crystal system = hexagonal
1.0
7.2256 0.0000 0.0000
-3.6128 6.2576 0.0000
0.0000 0.0000 4.3884
Tb Ni Bi
3 3 3
direct
0.0000 0.5753 0.0000
0.4247 0.4247 0.0000
0.5753 0.0000 0.0000
0.0000 0.2518 0.5000
0.2518 0.0000 0.5000
0.7482 0.7482 0.5000
0.0000 0.0000 0.0000
0.3333 0.6667 0.5000
0.6667 0.3333 0.5000

Number 1: mass density 6.5 Mg/m³, final energy -12.93 eV per cell. Number 2: mass density 11.3 Mg/m³, final energy -83.40 eV per cell. Number 3: mass density 12.3 Mg/m³, final energy -22.21 eV per cell. Number 4: mass density 14.3 Mg/m³, final energy -31.03 eV per cell. Number 5: mass density 10.5 Mg/m³, final energy -25.97 eV per cell. Number 6: mass density 11.5 Mg/m³, final energy -28.29 eV per cell. Number 7: mass density 9.9 Mg/m³, final energy -42.96 eV per cell. Number 8: mass density 10.7 Mg/m³, final energy -46.70 eV per cell.